[1]
Compound: GaAg3Pd12
Source: Alexandria via LeMat-Bulk
Functional: PBE
Structure: relaxed

Cell and atoms, written as POSCAR:
```
GaAg3Pd12
1.0
4.007 0.000 0.000
0.000 4.007 0.000
0.000 0.000 15.653
Pd Ag Ga
12 3 1
Direct
0.500 0.000 0.627
0.500 0.000 0.373
0.000 0.500 0.118
0.500 0.000 0.118
0.500 0.500 0.500
0.500 0.500 0.000
0.500 0.500 0.754
0.500 0.000 0.882
0.500 0.500 0.246
0.000 0.500 0.882
0.000 0.500 0.627
0.000 0.500 0.373
0.000 0.000 0.754
0.000 0.000 0.246
0.000 0.000 0.500
0.000 0.000 0.000
```

Summary:
Calculated volume, Å³/cell: 251.4
Formation energy from the elements, eV/atom: -0.116
Energy, Ha/atom: -0.1740

=====

[2]
Compound: GaAg3Pd6
Source: Alexandria via LeMat-Bulk
Functional: PBE
Structure: relaxed

Cell and atoms, written as POSCAR:
```
GaAg3Pd6
1.0
4.099 0.000 0.000
0.000 8.506 -1.560
0.000 0.999 8.994
Pd Ag Ga
12 6 2
Direct
0.750 0.119 0.672
0.750 0.844 0.813
0.250 0.881 0.328
0.250 0.653 0.705
0.250 0.043 0.892
0.750 0.347 0.295
0.750 0.779 0.512
0.250 0.221 0.488
0.750 0.957 0.108
0.750 0.549 0.902
0.250 0.156 0.187
0.250 0.451 0.098
0.250 0.342 0.789
0.750 0.445 0.596
0.250 0.753 0.013
0.250 0.555 0.404
0.750 0.247 0.987
0.750 0.658 0.211
0.250 0.934 0.623
0.750 0.066 0.377
```

Summary:
Calculated volume, Å³/cell: 320.0
Formation energy from the elements, eV/atom: -0.206
Energy, Ha/atom: -0.1646
ΔE to the lowest computed polymorph, eV/atom: 0.000

=====

[3]
Compound: GaAg2Pd8
Source: Alexandria via LeMat-Bulk
Functional: PBE
Structure: relaxed

Cell and atoms, written as POSCAR:
```
GaAg2Pd8
1.0
-1.091 0.933 4.431
-5.510 -0.812 -4.323
2.766 -6.389 -1.112
Pd Ag Ga
8 2 1
Direct
0.326 0.607 0.872
0.076 0.175 0.901
0.803 0.442 0.000
0.076 0.901 0.175
0.821 0.733 0.733
0.326 0.872 0.607
0.060 0.419 0.419
0.803 0.000 0.442
0.560 0.279 0.558
0.560 0.558 0.279
0.589 0.047 0.047
```

Summary:
Calculated volume, Å³/cell: 178.2
Formation energy from the elements, eV/atom: -0.102
Energy, Ha/atom: -0.1717
ΔE to the lowest computed polymorph, eV/atom: 0.000

=====

[4]
Compound: GaAgPd
Source: Alexandria via LeMat-Bulk
Functional: PBE
Structure: relaxed

Cell and atoms, written as POSCAR:
```
GaAgPd
1.0
-1.824 3.895 -0.156
-1.126 1.708 -3.602
-6.568 -3.129 -1.446
Pd Ag Ga
2 2 2
Direct
0.903 0.894 0.298
0.652 0.394 0.547
0.396 0.910 0.789
0.118 0.464 0.995
0.277 0.145 0.428
0.520 0.660 0.165
```

Summary:
Calculated volume, Å³/cell: 108.6
Formation energy from the elements, eV/atom: -0.160
Energy, Ha/atom: -0.1415
ΔE to the lowest computed polymorph, eV/atom: 0.149

=====

[5]
Compound: GaAgPd4
Source: Alexandria via LeMat-Bulk
Functional: PBE
Structure: relaxed

Cell and atoms, written as POSCAR:
```
GaAgPd4
1.0
4.998 -0.794 0.566
-1.660 5.165 0.380
-0.797 -1.304 7.425
Ga Pd Ag
2 8 2
Direct
0.409 0.636 0.253
0.591 0.364 0.747
0.994 0.705 0.107
0.453 0.235 0.070
0.006 0.295 0.893
0.718 0.989 0.590
0.767 0.530 0.436
0.282 0.011 0.410
0.547 0.765 0.930
0.233 0.470 0.564
0.883 0.143 0.240
0.117 0.857 0.760
```

Summary:
Calculated volume, Å³/cell: 188.2
Formation energy from the elements, eV/atom: -0.272
Energy, Ha/atom: -0.1732
ΔE to the lowest computed polymorph, eV/atom: 0.003

=====

[6]
Compound: GaAg2Pd6
Source: Alexandria via LeMat-Bulk
Functional: PBE
Structure: relaxed

Cell and atoms, written as POSCAR:
```
GaAg2Pd6
1.0
2.790 0.000 -0.386
0.000 7.537 0.000
-1.850 -3.768 7.239
Ga Pd Ag
1 6 2
Direct
0.000 0.000 0.000
0.680 0.017 0.679
0.500 0.697 0.000
0.500 0.303 0.000
0.320 0.983 0.321
0.680 0.663 0.679
0.320 0.337 0.321
0.859 0.680 0.361
0.141 0.320 0.639
```

Summary:
Calculated volume, Å³/cell: 146.8
Formation energy from the elements, eV/atom: -0.129
Energy, Ha/atom: -0.1676

=====

[7]
Compound: PmGa2AgPd5
Source: Alexandria via LeMat-Bulk
Functional: PBE
Structure: relaxed

Cell and atoms, written as POSCAR:
```
PmGa2AgPd5
1.0
-2.044 -3.080 -1.880
3.242 -2.517 0.599
-3.609 -2.673 8.304
Pd Pm Ag Ga
5 1 1 2
Direct
0.500 0.000 0.727
0.500 0.500 0.500
0.000 0.500 0.727
0.500 0.000 0.273
0.000 0.500 0.273
0.000 0.000 0.500
0.000 0.000 0.000
0.500 0.500 0.129
0.500 0.500 0.871
```

Summary:
Calculated volume, Å³/cell: 162.4
Formation energy from the elements, eV/atom: -0.520
Energy, Ha/atom: -0.1809

=====

[8]
Compound: PmGa4Ag2Pd
Source: Alexandria via LeMat-Bulk
Functional: PBE
Structure: relaxed

Cell and atoms, written as POSCAR:
```
PmGa4Ag2Pd
1.0
-2.243 2.513 2.866
0.927 -0.207 4.319
5.544 7.222 1.420
Ag Ga Pd Pm
2 4 1 1
Direct
0.243 0.243 0.272
0.757 0.757 0.728
0.870 0.870 0.391
0.130 0.130 0.609
0.603 0.603 0.192
0.397 0.397 0.808
0.500 0.500 0.500
0.000 0.000 0.000
```

Summary:
Calculated volume, Å³/cell: 150.0
Formation energy from the elements, eV/atom: -0.351
Energy, Ha/atom: -0.1404

=====

[9]
Compound: PmGa4AgPd2
Source: Alexandria via LeMat-Bulk
Functional: PBE
Structure: relaxed

Cell and atoms, written as POSCAR:
```
PmGa4AgPd2
1.0
4.342 0.000 0.000
2.171 3.760 0.000
2.171 1.253 8.972
Pd Ga Pm Ag
2 4 1 1
Direct
0.239 0.239 0.282
0.761 0.761 0.718
0.397 0.397 0.809
0.877 0.877 0.370
0.603 0.603 0.191
0.123 0.123 0.630
0.000 0.000 0.000
0.500 0.500 0.500
```

Summary:
Calculated volume, Å³/cell: 146.5
Formation energy from the elements, eV/atom: -0.501
Energy, Ha/atom: -0.1567

=====

[10]
Compound: Pm2Ga4AgPd3
Source: Alexandria via LeMat-Bulk
Functional: PBE
Structure: relaxed

Cell and atoms, written as POSCAR:
```
Pm2Ga4AgPd3
1.0
4.241 0.000 0.000
0.000 4.241 0.000
0.000 0.000 10.899
Ga Pd Pm Ag
4 3 2 1
Direct
0.500 0.000 0.639
0.000 0.000 0.000
0.500 0.500 0.000
0.000 0.500 0.361
0.500 0.000 0.868
0.000 0.000 0.500
0.000 0.500 0.132
0.000 0.500 0.761
0.500 0.000 0.239
0.500 0.500 0.500
```

Summary:
Calculated volume, Å³/cell: 196.0
Formation energy from the elements, eV/atom: -0.697
Energy, Ha/atom: -0.1728

=====

[11]
Compound: PrGa2AgPd5
Source: Alexandria via LeMat-Bulk
Functional: PBE
Structure: relaxed

Cell and atoms, written as POSCAR:
```
PrGa2AgPd5
1.0
4.172 0.000 0.000
0.000 4.172 0.000
0.000 0.000 9.451
Ga Pd Pr Ag
2 5 1 1
Direct
0.500 0.500 0.129
0.500 0.500 0.871
0.000 0.500 0.270
0.500 0.000 0.730
0.500 0.000 0.270
0.500 0.500 0.500
0.000 0.500 0.730
0.000 0.000 0.500
0.000 0.000 0.000
```

Summary:
Calculated volume, Å³/cell: 164.5
Formation energy from the elements, eV/atom: -0.495
Energy, Ha/atom: -0.1801

=====

[12]
Compound: PrGa4Ag2Pd
Source: Alexandria via LeMat-Bulk
Functional: PBE
Structure: relaxed

Cell and atoms, written as POSCAR:
```
PrGa4Ag2Pd
1.0
4.431 0.000 0.000
2.216 3.837 0.000
2.216 1.279 8.965
Pd Ga Ag Pr
1 4 2 1
Direct
0.500 0.500 0.500
0.601 0.601 0.197
0.131 0.131 0.608
0.399 0.399 0.803
0.869 0.869 0.392
0.758 0.758 0.725
0.242 0.242 0.275
0.000 0.000 0.000
```

Summary:
Calculated volume, Å³/cell: 152.4
Formation energy from the elements, eV/atom: -0.354
Energy, Ha/atom: -0.1406

=====

[13]
Compound: Pr2Ga2AgPd5
Source: Alexandria via LeMat-Bulk
Functional: PBE
Structure: relaxed

Cell and atoms, written as POSCAR:
```
Pr2Ga2AgPd5
1.0
3.778 0.000 0.000
0.000 10.063 0.000
0.000 0.000 10.063
Pd Ga Ag Pr
10 4 2 4
Direct
0.500 0.500 0.000
0.500 0.710 0.438
0.500 0.438 0.290
0.500 0.562 0.710
0.500 0.000 0.500
0.500 0.790 0.938
0.500 0.210 0.062
0.500 0.938 0.210
0.500 0.290 0.562
0.500 0.062 0.790
0.000 0.619 0.881
0.000 0.881 0.381
0.000 0.381 0.119
0.000 0.119 0.619
0.000 0.000 0.000
0.000 0.500 0.500
0.000 0.179 0.321
0.000 0.679 0.179
0.000 0.321 0.821
0.000 0.821 0.679
```

Summary:
Calculated volume, Å³/cell: 382.6
Formation energy from the elements, eV/atom: -0.594
Energy, Ha/atom: -0.1851

=====

[14]
Compound: Pr2Ga3AgPd4
Source: Alexandria via LeMat-Bulk
Functional: PBE
Structure: relaxed

Cell and atoms, written as POSCAR:
```
Pr2Ga3AgPd4
1.0
4.320 0.000 0.000
0.000 4.320 0.000
0.000 0.000 10.726
Ag Ga Pd Pr
1 3 4 2
Direct
0.500 0.500 0.500
0.000 0.000 0.500
0.000 0.500 0.122
0.500 0.000 0.878
0.500 0.000 0.648
0.000 0.000 0.000
0.500 0.500 0.000
0.000 0.500 0.352
0.500 0.000 0.248
0.000 0.500 0.752
```

Summary:
Calculated volume, Å³/cell: 200.2
Formation energy from the elements, eV/atom: -0.699
Energy, Ha/atom: -0.1810

=====

[15]
Compound: Pr2Ga4AgPd3
Source: Alexandria via LeMat-Bulk
Functional: PBE
Structure: relaxed

Cell and atoms, written as POSCAR:
```
Pr2Ga4AgPd3
1.0
-3.731 1.603 -1.457
-2.104 -1.990 3.197
1.283 8.649 6.229
Pd Ga Ag Pr
3 4 1 2
Direct
0.500 0.000 0.870
0.000 0.000 0.500
0.000 0.500 0.130
0.500 0.000 0.637
0.000 0.500 0.363
0.500 0.500 0.000
0.000 0.000 0.000
0.500 0.500 0.500
0.500 0.000 0.239
0.000 0.500 0.761
```

Summary:
Calculated volume, Å³/cell: 199.8
Formation energy from the elements, eV/atom: -0.697
Energy, Ha/atom: -0.1730

=====

[16]
Compound: PuGa4AgPd2
Source: Alexandria via LeMat-Bulk
Functional: PBE
Structure: relaxed

Cell and atoms, written as POSCAR:
```
PuGa4AgPd2
1.0
4.363 0.000 0.000
2.182 3.779 0.000
2.182 1.260 8.784
Pd Ga Pu Ag
2 4 1 1
Direct
0.763 0.763 0.711
0.237 0.237 0.289
0.878 0.878 0.365
0.395 0.395 0.815
0.122 0.122 0.635
0.605 0.605 0.185
0.000 0.000 0.000
0.500 0.500 0.500
```

Summary:
Calculated volume, Å³/cell: 144.8
Formation energy from the elements, eV/atom: -0.366
Energy, Ha/atom: -0.1957

=====

[17]
Compound: RbGa2AgPd
Source: Alexandria via LeMat-Bulk
Functional: PBE
Structure: relaxed

Cell and atoms, written as POSCAR:
```
RbGa2AgPd
1.0
-0.672 -0.888 -4.731
-1.895 -4.343 1.084
-5.009 2.257 0.288
Rb Ga Ag Pd
1 2 1 1
Direct
0.500 0.500 0.500
0.500 0.000 0.000
0.000 0.500 0.000
0.000 0.000 0.500
0.000 0.000 0.000
```

Summary:
Calculated volume, Å³/cell: 130.0
Formation energy from the elements, eV/atom: -0.132
Energy, Ha/atom: -0.1156

=====

[18]
Compound: GaAgPdRh
Source: Alexandria via LeMat-Bulk
Functional: PBE
Structure: relaxed

Cell and atoms, written as POSCAR:
```
GaAgPdRh
1.0
4.421 0.000 0.000
2.211 3.829 0.000
2.211 1.276 3.610
Ga Pd Rh Ag
1 1 1 1
Direct
0.500 0.500 0.500
0.250 0.250 0.250
0.750 0.750 0.750
0.000 0.000 0.000
```

Summary:
Calculated volume, Å³/cell: 61.1
Formation energy from the elements, eV/atom: -0.298
Energy, Ha/atom: -0.1802

=====

[19]
Compound: Ga2AgPdS
Source: Alexandria via LeMat-Bulk
Functional: PBE
Structure: relaxed

Cell and atoms, written as POSCAR:
```
Ga2AgPdS
1.0
-3.933 -0.224 2.842
0.296 -4.615 0.046
2.834 0.221 3.939
Ga S Pd Ag
2 1 1 1
Direct
0.500 0.000 0.000
0.000 0.000 0.500
0.000 0.000 0.000
0.500 0.500 0.500
0.000 0.500 0.000
```

Summary:
Raw formation energy, eV per atom: 0.45
Calculated volume, Å³/cell: 109.1
Energy, Ha/atom: -0.1173

=====

[20]
Compound: ScGa2AgPd2
Source: Alexandria via LeMat-Bulk
Functional: PBE
Structure: relaxed

Cell and atoms, written as POSCAR:
```
ScGa2AgPd2
1.0
4.457 0.000 0.000
-2.229 3.860 0.000
0.000 0.000 5.837
Ag Pd Sc Ga
1 2 1 2
Direct
0.000 0.000 0.000
0.333 0.667 0.240
0.667 0.333 0.760
0.000 0.000 0.500
0.333 0.667 0.756
0.667 0.333 0.244
```

Summary:
Calculated volume, Å³/cell: 100.4
Formation energy from the elements, eV/atom: -0.598
Energy, Ha/atom: -0.1789